This record from Alexandria via LeMat-Bulk describes a relaxed CoMo2Rh crystal. The functional is GGA-PBEsol.

Calculated values
* D(E_F): 2.9 states/eV/f.u.
* magnetization: 0.000 μB/atom
* density: 10.962 Mg/m³
* excess energy over the best structure of this formula in the dataset: 2 meV/atom
* energy relative to the elements: -80.0 meV/atom

```
CoMo2Rh
1.0
2.6732 0.0000 0.0000
0.0000 3.7663 0.0000
0.0000 0.0000 5.3216
Co Mo Rh
1 2 1
direct
0.0000 0.0000 0.0000 Co
0.5000 0.5000 0.2397 Mo
0.5000 0.5000 0.7603 Mo
0.0000 0.0000 0.5000 Rh
```